The following is a DFT calculation (SCAN) of TaZn3Cl at its PBEsol-relaxed geometry.

## Properties
For the formation energy without anion corrections, the calculation gives 6.16 eV per formula unit. For the total energy, the calculation gives -0.8007 Ha/atom. The calculation puts the calculated volume at 18.74 Å³ per atom.

abc: 4.5422 4.5422 4.5422
angles: 90.00 90.00 90.00
With the nearest neighbours (Å) after each atom.
Fractional coordinates of all 5 atoms:
Zn (0.0000, 0.5000, 0.0000)  2 Cl 2.27
Zn (0.0000, 0.0000, 0.5000)  2 Cl 2.27
Zn (0.5000, 0.0000, 0.0000)  2 Cl 2.27
Cl (0.0000, 0.0000, 0.0000)  6 Zn 2.27
Ta (0.5000, 0.5000, 0.5000)  12 Zn 3.21

The following is a DFT calculation (SCAN) of DyTlRh2 at its PBEsol-relaxed geometry.

## Properties
For the total energy, the calculation gives -1.7471 Ha/atom. The calculation puts the calculated volume at 17.75 Å³ per atom.

abc: 4.6481 4.6481 4.6481
angles: 60.00 60.00 60.00
With the nearest neighbours (Å) after each atom.
Fractional coordinates of all 4 atoms:
Tl (0.0000, 0.0000, 0.0000)  8 Rh 2.85
Rh (0.7500, 0.7500, 0.7500)  4 Dy 2.85, 4 Tl 2.85
Rh (0.2500, 0.2500, 0.2500)  4 Tl 2.85, 4 Dy 2.85
Dy (0.5000, 0.5000, 0.5000)  8 Rh 2.85

The following is a DFT calculation (SCAN) of Cd3Au at its PBEsol-relaxed geometry.

## Properties
For the total energy, the calculation gives -1.4764 Ha/atom. The calculation puts the calculated volume at 19.33 Å³ per atom.

abc: 3.0974 3.0974 9.3048
angles: 90.00 90.00 120.00
With the nearest neighbours (Å) after each atom.
Fractional coordinates of all 4 atoms:
Au (0.0000, 0.0000, 0.0000)  6 Cd 2.86, 6 Au 3.10
Cd (0.0000, 0.0000, 0.5000)  12 Cd 3.01-3.10
Cd (0.6667, 0.3333, 0.7598)  3 Au 2.86, 9 Cd 3.01-3.10
Cd (0.6667, 0.3333, 0.2402)  3 Au 2.86, 9 Cd 3.01-3.10

Among the records above, which one has the highest calculated volume?
Cd3Au

calculated volume of number 2 (DyTlRh2)?
17.75 Å³ per atom